Entry 1:
Material: YTaGe2
Method: DFT, GGA-PBE
State: relaxed

```
YTaGe2
1.0
1.938 1.119 6.490
-1.938 1.119 6.490
0.000 -2.238 6.490
Y Ta Ge
1 1 2
Direct
0.000 0.000 0.000 Y
0.500 0.500 0.500 Ta
0.241 0.241 0.241 Ge
0.759 0.759 0.759 Ge
```

Computed properties:
Energy above the most stable polymorph in this dataset = 0.00 eV/f.u.
SG = R-3m, No. 166
Density = 8163 kg/m³

***

Entry 2:
Material: YTaGe2
Method: DFT, GGA-PBE
State: relaxed

```
YTaGe2
1.0
-3.703 3.703 3.091
3.703 -3.703 3.091
3.703 3.703 -3.091
Y Ta Ge
2 2 4
Direct
0.000 0.000 0.000 Y
0.750 0.250 0.500 Y
0.250 0.750 0.500 Ta
0.500 0.500 0.000 Ta
0.150 0.625 0.025 Ge
0.375 0.400 0.525 Ge
0.600 0.125 0.975 Ge
0.875 0.850 0.475 Ge
```

Computed properties:
Energy above the most stable polymorph in this dataset = 0.98 eV/f.u.
SG = I-42d, No. 122
Density = 8132 kg/m³

***

Entry 3:
Material: YTaGe2
Method: DFT, GGA-PBE
State: relaxed

```
YTaGe2
1.0
0.000 3.387 3.387
3.387 0.000 3.387
3.387 3.387 0.000
Y Ta Ge
1 1 2
Direct
0.000 0.000 0.000 Y
0.500 0.500 0.500 Ta
0.250 0.250 0.250 Ge
0.750 0.750 0.750 Ge
```

Computed properties:
Energy above the most stable polymorph in this dataset = 1.23 eV/f.u.
SG = Fm-3m, No. 225
Density = 8872 kg/m³

***

Entry 4:
Material: YTa2Ge2
Method: DFT, GGA-PBE
State: relaxed

```
YTa2Ge2
1.0
-2.021 2.021 6.026
2.021 -2.021 6.026
2.021 2.021 -6.026
Y Ta Ge
1 2 2
Direct
0.000 0.000 0.000 Y
0.250 0.750 0.500 Ta
0.750 0.250 0.500 Ta
0.397 0.397 0.000 Ge
0.603 0.603 0.000 Ge
```

Computed properties:
Energy above the most stable polymorph in this dataset = 0.00 eV/f.u.
SG = I4/mmm, No. 139
Density = 10053 kg/m³

***

Entry 5:
Material: YTa2Ge2
Method: DFT, GGA-PBE
State: relaxed

```
YTa2Ge2
1.0
7.324 0.000 0.000
0.000 7.324 0.000
0.000 0.000 3.495
Y Ta Ge
2 4 4
Direct
0.000 0.000 0.000 Y
0.500 0.500 0.000 Y
0.159 0.341 0.500 Ta
0.341 0.841 0.500 Ta
0.659 0.159 0.500 Ta
0.841 0.659 0.500 Ta
0.132 0.632 0.000 Ge
0.368 0.132 0.000 Ge
0.632 0.868 0.000 Ge
0.868 0.368 0.000 Ge
```

Computed properties:
Energy above the most stable polymorph in this dataset = 1.12 eV/f.u.
SG = P4/mbm, No. 127
Density = 10559 kg/m³

***

Entry 6:
Material: YTaGe3
Method: DFT, GGA-PBE
State: relaxed

```
YTaGe3
1.0
5.136 0.000 0.000
0.000 5.136 0.000
0.000 0.000 5.136
Y Ta Ge
1 1 3
Direct
0.000 0.000 0.000 Y
0.500 0.500 0.500 Ta
0.000 0.000 0.500 Ge
0.000 0.500 0.000 Ge
0.500 0.000 0.000 Ge
```

Computed properties:
Total energy = -24.76 eV per formula unit
SG = Pm-3m, No. 221
Density = 5979 kg/m³

***

Entry 7:
Material: YTaGe3
Method: DFT, GGA-PBE
State: relaxed

```
YTaGe3
1.0
4.960 0.000 0.000
0.000 4.960 0.000
0.000 0.000 4.960
Y Ta Ge
1 1 3
Direct
0.000 0.000 0.000 Y
0.500 0.500 0.500 Ta
0.000 0.500 0.500 Ge
0.500 0.000 0.500 Ge
0.500 0.500 0.000 Ge
```

Computed properties:
Total energy = -31.81 eV per formula unit
SG = Pm-3m, No. 221
Density = 6637 kg/m³

***

Entry 8:
Material: Y2TaGe2
Method: DFT, GGA-PBE
State: relaxed

```
Y2TaGe2
1.0
7.197 0.000 0.000
0.000 7.197 0.000
0.000 0.000 4.176
Y Ta Ge
4 2 4
Direct
0.173 0.327 0.000 Y
0.327 0.827 0.000 Y
0.673 0.173 0.000 Y
0.827 0.673 0.000 Y
0.000 0.000 0.500 Ta
0.500 0.500 0.500 Ta
0.135 0.635 0.500 Ge
0.365 0.135 0.500 Ge
0.635 0.865 0.500 Ge
0.865 0.365 0.500 Ge
```

Computed properties:
Total energy = -36.89 eV per formula unit
SG = P4/mbm, No. 127
Density = 7739 kg/m³